VASP calculation (GGA-PBE) on a relaxed structure of Re2HgRh.

```
Re2HgRh
1.0
2.753 0.000 0.000
0.000 2.753 0.000
0.000 0.000 8.438
Re Hg Rh
2 1 1
direct
0.000 0.000 0.771
0.000 0.000 0.229
0.500 0.500 0.500
0.500 0.500 0.000
```

Computed properties:
Formation energy = 524.3 meV per atom
Uncorrected energy = -7.61 eV per atom